1.
DFT (GGA-PBE) results for an optimized crystal structure of K2TaFe.

Computed properties:
space-group type = No. 47

Cell: 3.107 4.758 6.239 Å, 90.00 90.00 90.00°
Fractional coordinates of all 4 atoms:
K  0.000  0.000  0.000
K  0.500  0.500  0.000
Ta  0.000  0.500  0.500
Fe  0.500  0.000  0.500


2.
DFT (GGA-PBE) results for an optimized crystal structure of KTa2Fe.

Computed properties:
space-group type = No. 12

Cell: 5.903 10.937 2.678 Å, 90.00 112.42 90.00°
Fractional coordinates of all 8 atoms:
K  0.000  0.000  0.000
K  0.500  0.500  0.000
Ta  0.250  0.250  0.500
Ta  0.250  0.750  0.500
Ta  0.750  0.250  0.500
Ta  0.750  0.750  0.500
Fe  0.000  0.500  0.000
Fe  0.500  0.000  0.000


3.
DFT (GGA-PBE) results for an optimized crystal structure of KTaFe.

Computed properties:
space-group type = No. 107

Cell: 3.138 3.138 14.158 Å, 90.00 90.00 90.00°
Fractional coordinates of all 6 atoms:
K  0.000  0.000  0.000
K  0.500  0.500  0.500
Ta  0.000  0.000  0.736
Ta  0.500  0.500  0.236
Fe  0.000  0.000  0.312
Fe  0.500  0.500  0.812


4.
DFT (GGA-PBE) results for an optimized crystal structure of K2TaFe.

Computed properties:
space-group type = No. 44

Cell: 3.193 6.389 12.481 Å, 90.00 90.00 90.00°
Fractional coordinates of all 8 atoms:
K  0.000  0.000  0.000
K  0.000  0.500  0.194
K  0.500  0.000  0.694
K  0.500  0.500  0.500
Ta  0.000  0.500  0.816
Ta  0.500  0.000  0.316
Fe  0.000  0.000  0.441
Fe  0.500  0.500  0.941


5.
DFT (GGA-PBE) results for an optimized crystal structure of K2TaFe.

Computed properties:
space-group type = No. 65

Cell: 5.550 12.226 2.894 Å, 90.00 90.00 90.00°
Fractional coordinates of all 8 atoms:
K  0.250  0.250  0.000
K  0.250  0.750  0.000
K  0.750  0.250  0.000
K  0.750  0.750  0.000
Ta  0.000  0.000  0.500
Ta  0.500  0.500  0.500
Fe  0.000  0.500  0.500
Fe  0.500  0.000  0.500


6.
DFT (GGA-PBE) results for an optimized crystal structure of KTa2Fe.

Computed properties:
space-group type = No. 225

Cell: 6.511 6.511 6.511 Å, 90.00 90.00 90.00°
Fractional coordinates of all 16 atoms:
K  0.000  0.000  0.000
K  0.000  0.500  0.500
K  0.500  0.000  0.500
K  0.500  0.500  0.000
Ta  0.250  0.250  0.250
Ta  0.250  0.250  0.750
Ta  0.250  0.750  0.250
Ta  0.250  0.750  0.750
Ta  0.750  0.250  0.250
Ta  0.750  0.250  0.750
Ta  0.750  0.750  0.250
Ta  0.750  0.750  0.750
Fe  0.000  0.000  0.500
Fe  0.000  0.500  0.000
Fe  0.500  0.000  0.000
Fe  0.500  0.500  0.500


7.
DFT (GGA-PBE) results for an optimized crystal structure of KTaFe2.

Computed properties:
space-group type = No. 6

Cell: 2.990 4.037 7.564 Å, 90.00 101.36 90.00°
Fractional coordinates of all 4 atoms:
K  0.000  0.000  0.000
Ta  0.704  0.500  0.403
Fe  0.249  0.000  0.492
Fe  0.335  0.500  0.668


8.
DFT (GGA-PBE) results for an optimized crystal structure of KTa2Fe.

Computed properties:
space-group type = No. 47

Cell: 2.864 3.640 8.771 Å, 90.00 90.00 90.00°
Fractional coordinates of all 4 atoms:
K  0.000  0.000  0.000
Ta  0.500  0.500  0.356
Ta  0.500  0.500  0.644
Fe  0.000  0.000  0.500


9.
DFT (GGA-PBE) results for an optimized crystal structure of KTa2Fe.

Computed properties:
space-group type = No. 141

Cell: 5.504 5.504 15.284 Å, 90.00 90.00 90.00°
Fractional coordinates of all 16 atoms:
K  0.000  0.250  0.375
K  0.000  0.750  0.625
K  0.500  0.250  0.125
K  0.500  0.750  0.875
Ta  0.000  0.000  0.000
Ta  0.000  0.500  0.000
Ta  0.250  0.250  0.750
Ta  0.250  0.750  0.250
Ta  0.500  0.000  0.500
Ta  0.500  0.500  0.500
Ta  0.750  0.250  0.750
Ta  0.750  0.750  0.250
Fe  0.000  0.250  0.875
Fe  0.000  0.750  0.125
Fe  0.500  0.250  0.625
Fe  0.500  0.750  0.375


10.
DFT (GGA-PBE) results for an optimized crystal structure of KTaFe2.

Computed properties:
space-group type = No. 123

Cell: 3.278 3.278 7.823 Å, 90.00 90.00 90.00°
Fractional coordinates of all 4 atoms:
K  0.000  0.000  0.000
Ta  0.000  0.000  0.500
Fe  0.500  0.500  0.350
Fe  0.500  0.500  0.650


11.
DFT (GGA-PBE) results for an optimized crystal structure of KTa2Fe.

Computed properties:
space-group type = No. 71

Cell: 2.762 5.474 10.901 Å, 90.00 90.00 90.00°
Fractional coordinates of all 8 atoms:
K  0.000  0.000  0.000
K  0.500  0.500  0.500
Ta  0.000  0.500  0.198
Ta  0.000  0.500  0.802
Ta  0.500  0.000  0.302
Ta  0.500  0.000  0.698
Fe  0.000  0.000  0.500
Fe  0.500  0.500  0.000


12.
DFT (GGA-PBE) results for an optimized crystal structure of KTa2Fe.

Computed properties:
space-group type = No. 65

Cell: 4.047 4.062 10.070 Å, 90.00 90.00 90.00°
Fractional coordinates of all 8 atoms:
K  0.000  0.000  0.000
K  0.500  0.500  0.000
Ta  0.000  0.500  0.334
Ta  0.000  0.500  0.666
Ta  0.500  0.000  0.334
Ta  0.500  0.000  0.666
Fe  0.000  0.000  0.500
Fe  0.500  0.500  0.500


13.
DFT (GGA-PBE) results for an optimized crystal structure of KTaFe2.

Computed properties:
space-group type = No. 71

Cell: 2.941 5.847 9.722 Å, 90.00 90.00 90.00°
Fractional coordinates of all 8 atoms:
K  0.000  0.000  0.000
K  0.500  0.500  0.500
Ta  0.000  0.000  0.500
Ta  0.500  0.500  0.000
Fe  0.000  0.500  0.204
Fe  0.000  0.500  0.796
Fe  0.500  0.000  0.296
Fe  0.500  0.000  0.704


14.
DFT (GGA-PBE) results for an optimized crystal structure of K2TaFe.

Computed properties:
space-group type = No. 216

Cell: 7.467 7.467 7.467 Å, 90.00 90.00 90.00°
Fractional coordinates of all 16 atoms:
K  0.000  0.000  0.000
K  0.000  0.500  0.500
K  0.250  0.250  0.250
K  0.250  0.750  0.750
K  0.500  0.000  0.500
K  0.500  0.500  0.000
K  0.750  0.250  0.750
K  0.750  0.750  0.250
Ta  0.250  0.250  0.750
Ta  0.250  0.750  0.250
Ta  0.750  0.250  0.250
Ta  0.750  0.750  0.750
Fe  0.000  0.000  0.500
Fe  0.000  0.500  0.000
Fe  0.500  0.000  0.000
Fe  0.500  0.500  0.500


15.
DFT (GGA-PBE) results for an optimized crystal structure of K2TaFe.

Computed properties:
space-group type = No. 123

Cell: 2.858 2.858 12.198 Å, 90.00 90.00 90.00°
Fractional coordinates of all 4 atoms:
K  0.000  0.000  0.237
K  0.000  0.000  0.763
Ta  0.500  0.500  0.500
Fe  0.500  0.500  0.000


16.
DFT (GGA-PBE) results for an optimized crystal structure of KTa2Fe.

Computed properties:
space-group type = No. 25

Cell: 3.018 3.931 8.164 Å, 90.00 90.00 90.00°
Fractional coordinates of all 4 atoms:
K  0.000  0.000  0.000
Ta  0.000  0.000  0.558
Ta  0.500  0.500  0.376
Fe  0.500  0.500  0.651


17.
DFT (GGA-PBE) results for an optimized crystal structure of KTaFe2.

Computed properties:
space-group type = No. 216

Cell: 6.452 6.452 6.452 Å, 90.00 90.00 90.00°
Fractional coordinates of all 16 atoms:
K  0.000  0.000  0.000
K  0.000  0.500  0.500
K  0.500  0.000  0.500
K  0.500  0.500  0.000
Ta  0.250  0.250  0.750
Ta  0.250  0.750  0.250
Ta  0.750  0.250  0.250
Ta  0.750  0.750  0.750
Fe  0.000  0.000  0.500
Fe  0.000  0.500  0.000
Fe  0.250  0.250  0.250
Fe  0.250  0.750  0.750
Fe  0.500  0.000  0.000
Fe  0.500  0.500  0.500
Fe  0.750  0.250  0.750
Fe  0.750  0.750  0.250


18.
DFT (GGA-PBE) results for an optimized crystal structure of KTaFe2.

Computed properties:
space-group type = No. 119

Cell: 3.852 3.852 9.611 Å, 90.00 90.00 90.00°
Fractional coordinates of all 8 atoms:
K  0.000  0.000  0.000
K  0.500  0.500  0.500
Ta  0.000  0.500  0.750
Ta  0.500  0.000  0.250
Fe  0.000  0.000  0.500
Fe  0.000  0.500  0.250
Fe  0.500  0.000  0.750
Fe  0.500  0.500  0.000


19.
DFT (GGA-PBE) results for an optimized crystal structure of KTaFe2.

Computed properties:
space-group type = No. 8

Cell: 7.680 2.793 8.086 Å, 90.00 92.90 90.00°
Fractional coordinates of all 8 atoms:
K  0.000  0.000  0.000
K  0.500  0.500  0.000
Ta  0.226  0.000  0.614
Ta  0.726  0.500  0.614
Fe  0.268  0.500  0.326
Fe  0.489  0.000  0.453
Fe  0.768  0.000  0.326
Fe  0.989  0.500  0.453


20.
DFT (GGA-PBE) results for an optimized crystal structure of KTaFe2.

Computed properties:
space-group type = No. 44

Cell: 2.702 5.288 10.407 Å, 90.00 90.00 90.00°
Fractional coordinates of all 8 atoms:
K  0.000  0.000  0.000
K  0.500  0.500  0.500
Ta  0.000  0.500  0.805
Ta  0.500  0.000  0.305
Fe  0.000  0.000  0.530
Fe  0.000  0.500  0.218
Fe  0.500  0.000  0.718
Fe  0.500  0.500  0.030


21.
DFT (GGA-PBE) results for an optimized crystal structure of KTa2Fe.

Computed properties:
space-group type = No. 166

Cell: 3.083 3.083 30.428 Å, 90.00 90.00 120.00°
Fractional coordinates of all 12 atoms:
K  0.000  0.000  0.000
K  0.333  0.667  0.667
K  0.667  0.333  0.333
Ta  0.000  0.000  0.224
Ta  0.000  0.000  0.776
Ta  0.333  0.667  0.442
Ta  0.333  0.667  0.891
Ta  0.667  0.333  0.109
Ta  0.667  0.333  0.558
Fe  0.000  0.000  0.500
Fe  0.333  0.667  0.167
Fe  0.667  0.333  0.833


22.
DFT (GGA-PBE) results for an optimized crystal structure of KTaFe2.

Computed properties:
space-group type = No. 225

Cell: 6.355 6.355 6.355 Å, 90.00 90.00 90.00°
Fractional coordinates of all 16 atoms:
K  0.000  0.000  0.000
K  0.000  0.500  0.500
K  0.500  0.000  0.500
K  0.500  0.500  0.000
Ta  0.000  0.000  0.500
Ta  0.000  0.500  0.000
Ta  0.500  0.000  0.000
Ta  0.500  0.500  0.500
Fe  0.250  0.250  0.250
Fe  0.250  0.250  0.750
Fe  0.250  0.750  0.250
Fe  0.250  0.750  0.750
Fe  0.750  0.250  0.250
Fe  0.750  0.250  0.750
Fe  0.750  0.750  0.250
Fe  0.750  0.750  0.750


23.
DFT (GGA-PBE) results for an optimized crystal structure of K2TaFe.

Computed properties:
space-group type = No. 65

Cell: 3.048 5.035 12.435 Å, 90.00 90.00 90.00°
Fractional coordinates of all 8 atoms:
K  0.000  0.000  0.236
K  0.000  0.000  0.764
K  0.500  0.500  0.236
K  0.500  0.500  0.764
Ta  0.000  0.500  0.500
Ta  0.500  0.000  0.500
Fe  0.000  0.500  0.000
Fe  0.500  0.000  0.000


24.
DFT (GGA-PBE) results for an optimized crystal structure of KTa2Fe.

Computed properties:
space-group type = No. 123

Cell: 4.761 4.761 3.082 Å, 90.00 90.00 90.00°
Fractional coordinates of all 4 atoms:
K  0.000  0.000  0.000
Ta  0.000  0.500  0.500
Ta  0.500  0.000  0.500
Fe  0.500  0.500  0.000


25.
DFT (GGA-PBE) results for an optimized crystal structure of KTaFe3.

Computed properties:
space-group type = No. 221

Cell: 4.789 4.789 4.789 Å, 90.00 90.00 90.00°
Fractional coordinates of all 5 atoms:
K  0.000  0.000  0.000
Ta  0.500  0.500  0.500
Fe  0.000  0.500  0.500
Fe  0.500  0.000  0.500
Fe  0.500  0.500  0.000


26.
DFT (GGA-PBE) results for an optimized crystal structure of KTaFe.

Computed properties:
space-group type = No. 156

Cell: 3.223 3.223 7.713 Å, 90.00 90.00 120.00°
Fractional coordinates of all 3 atoms:
K  0.000  0.000  0.000
Ta  0.667  0.333  0.440
Fe  0.333  0.667  0.630


27.
DFT (GGA-PBE) results for an optimized crystal structure of KTa2Fe.

Computed properties:
space-group type = No. 119

Cell: 4.810 4.810 6.766 Å, 90.00 90.00 90.00°
Fractional coordinates of all 8 atoms:
K  0.000  0.000  0.000
K  0.500  0.500  0.500
Ta  0.000  0.000  0.500
Ta  0.000  0.500  0.250
Ta  0.500  0.000  0.750
Ta  0.500  0.500  0.000
Fe  0.000  0.500  0.750
Fe  0.500  0.000  0.250


28.
DFT (GGA-PBE) results for an optimized crystal structure of KTa3Fe.

Computed properties:
space-group type = No. 221

Cell: 4.540 4.540 4.540 Å, 90.00 90.00 90.00°
Fractional coordinates of all 5 atoms:
K  0.000  0.000  0.000
Ta  0.000  0.000  0.500
Ta  0.000  0.500  0.000
Ta  0.500  0.000  0.000
Fe  0.500  0.500  0.500


29.
DFT (GGA-PBE) results for an optimized crystal structure of KTa2Fe.

Computed properties:
space-group type = No. 47

Cell: 2.839 5.093 5.589 Å, 90.00 90.00 90.00°
Fractional coordinates of all 4 atoms:
K  0.000  0.000  0.000
Ta  0.000  0.500  0.500
Ta  0.500  0.000  0.500
Fe  0.500  0.500  0.000


30.
DFT (GGA-PBE) results for an optimized crystal structure of KTaFe2.

Computed properties:
space-group type = No. 47

Cell: 2.854 4.633 5.402 Å, 90.00 90.00 90.00°
Fractional coordinates of all 4 atoms:
K  0.000  0.000  0.000
Ta  0.500  0.000  0.500
Fe  0.000  0.500  0.500
Fe  0.500  0.500  0.000


31.
DFT (GGA-PBE) results for an optimized crystal structure of KTa2Fe.

Computed properties:
space-group type = No. 35

Cell: 3.262 4.778 10.383 Å, 90.00 90.00 90.00°
Fractional coordinates of all 8 atoms:
K  0.000  0.000  0.000
K  0.500  0.500  0.000
Ta  0.000  0.000  0.457
Ta  0.000  0.500  0.680
Ta  0.500  0.000  0.680
Ta  0.500  0.500  0.457
Fe  0.000  0.500  0.274
Fe  0.500  0.000  0.274


We obtain ΔE_f values of 133; 124; 73; 101; 143; 141; 76; 72; 163; 52; 93; 63; 126; 160; 139; 67; 138; 143; 78; 99; 76; 137; 129; 163; 133; 84; 146; 317; 131; 147; 66 kJ per mole of atoms for the records listed above, in that order.
We obtain E_tot values of -17.0; -56.3; -38.3; -36.7; -33.2; -109.7; -26.7; -30.3; -106.0; -27.7; -58.8; -61.3; -49.3; -63.4; -16.8; -30.5; -96.6; -47.9; -53.3; -51.6; -90.3; -96.7; -34.3; -26.5; -31.4; -18.8; -54.4; -28.7; -27.8; -23.8; -61.1 eV per cell for the records listed above, in that order.